(1)
# KCrP | the Alexandria database | SCAN | single point on PBEsol structure
data_KCrP
_symmetry_space_group_name_H-M 'P 1'
_symmetry_Int_Tables_number 1
_cell_length_a 4.529
_cell_length_b 4.529
_cell_length_c 4.529
_cell_angle_alpha 60.00
_cell_angle_beta 60.00
_cell_angle_gamma 60.00
loop_
_symmetry_equiv_pos_as_xyz
'x,y,z'
loop_
_atom_site_label
_atom_site_fract_x
_atom_site_fract_y
_atom_site_fract_z
_atom_site_occupancy
Cr1 0.250 0.250 0.250 1
P1 0.500 0.500 0.500 1
K1 0.000 0.000 0.000 1
# Symmetry ... F-43m (216)
# Formation enthalpy at 0 K ... 252 meV/atom

=====

(2)
# KCrP2 | the Alexandria database | SCAN | single point on PBEsol structure
data_KCrP2
_symmetry_space_group_name_H-M 'P 1'
_symmetry_Int_Tables_number 1
_cell_length_a 4.066
_cell_length_b 4.223
_cell_length_c 4.223
_cell_angle_alpha 90.00
_cell_angle_beta 90.00
_cell_angle_gamma 90.00
loop_
_symmetry_equiv_pos_as_xyz
'x,y,z'
loop_
_atom_site_label
_atom_site_fract_x
_atom_site_fract_y
_atom_site_fract_z
_atom_site_occupancy
P1 0.000 0.500 0.000 1
P2 0.000 0.000 0.500 1
K1 0.500 0.000 0.000 1
Cr1 0.500 0.500 0.500 1
# ΔE to the lowest computed polymorph ... 67.9 kJ/mol of atoms
# Symmetry ... P4/mmm (123)
# Formation enthalpy at 0 K ... 417 meV/atom

=====

(3)
# K2CrP2 | the Alexandria database | SCAN | single point on PBEsol structure
data_K2CrP2
_symmetry_space_group_name_H-M 'P 1'
_symmetry_Int_Tables_number 1
_cell_length_a 4.014
_cell_length_b 4.014
_cell_length_c 7.255
_cell_angle_alpha 106.06
_cell_angle_beta 106.06
_cell_angle_gamma 90.00
loop_
_symmetry_equiv_pos_as_xyz
'x,y,z'
loop_
_atom_site_label
_atom_site_fract_x
_atom_site_fract_y
_atom_site_fract_z
_atom_site_occupancy
K1 0.750 0.250 0.500 1
K2 0.250 0.750 0.500 1
Cr1 0.000 0.000 0.000 1
P1 0.422 0.422 0.843 1
P2 0.578 0.578 0.157 1
# Symmetry ... I4/mmm (139)
# Formation enthalpy at 0 K ... 243 meV/atom

=====

> Which value of formation enthalpy at 0 K does entry 3 give?

243 meV/atom

=====

> Which value of formation enthalpy at 0 K does entry 2 give?

417 meV/atom

=====

> What is the formula in the third record?

K2CrP2